# 1
A geometry-optimized TcTeI3 structure. Source: Alexandria via LeMat-Bulk, functional PBE.

Total moment ... 5.6 Bohr magnetons per cell
E above lowest polymorph ... 0.504 eV per atom
Density of states at the Fermi level ... 6.893 states/eV/cell
Space group ... Pm-3m, No. 221
Raw formation energy ... 23.5 kcal/mol of atoms

Cell lengths 6.0897, 6.0897, 6.0897 Å; angles 90.00, 90.00, 90.00 degrees
Fractional coordinates of all 5 atoms:
Tc: 0.5000 0.5000 0.5000
Te: 0.0000 0.0000 0.0000
I: 0.0000 0.5000 0.0000
I: 0.0000 0.0000 0.5000
I: 0.5000 0.0000 0.0000


# 2
A geometry-optimized K2As2Pd2Au structure. Source: Alexandria via LeMat-Bulk, functional PBE.

Formation energy ... -455.2 meV/atom
Total moment ... 0.0 Bohr magnetons per cell
Density of states at the Fermi level ... 2.636 states/eV/cell
Space group ... C2/m, No. 12

Cell lengths 4.6144, 6.6445, 7.4414 Å; angles 72.49, 71.94, 69.68 degrees
Fractional coordinates of all 7 atoms:
As: 0.2410 0.7103 0.8077
Au: 0.0000 0.0000 0.0000
K: 0.5550 0.2057 0.6842
Pd: 0.7653 0.5806 0.8889
K: 0.4450 0.7943 0.3158
As: 0.7590 0.2897 0.1923
Pd: 0.2347 0.4194 0.1111


# 3
A geometry-optimized PmNdDy2In4 structure. Source: Alexandria via LeMat-Bulk, functional PBE.

Formation energy ... -478.8 meV/atom
Total moment ... 0.0 Bohr magnetons per cell
Density of states at the Fermi level ... 3.628 states/eV/cell
Space group ... R-3m, No. 166

Cell lengths 5.3846, 5.3846, 9.3412 Å; angles 73.25, 73.25, 60.00 degrees
Fractional coordinates of all 8 atoms:
In: 0.1254 0.1254 0.6239
In: 0.3753 0.3753 0.8741
In: 0.6247 0.6247 0.1259
Dy: 0.2500 0.2500 0.2500
Nd: 0.0000 0.0000 0.0000
Pm: 0.5000 0.5000 0.5000
Dy: 0.7500 0.7500 0.7500
In: 0.8746 0.8746 0.3761


# 4
A geometry-optimized BaAcPd3 structure. Source: Alexandria via LeMat-Bulk, functional PBE.

Formation energy ... -654.8 meV/atom
Total moment ... 0.0 Bohr magnetons per cell
E above lowest polymorph ... 0.002 eV per atom
Density of states at the Fermi level ... 4.694 states/eV/cell
Space group ... Cmcm, No. 63

Cell lengths 4.6451, 4.1767, 14.2285 Å; angles 98.44, 90.00, 90.00 degrees
Fractional coordinates of all 10 atoms:
Pd: 0.7500 0.3339 0.6677
Pd: 0.2500 0.3852 0.7703
Ac: 0.7500 0.9300 0.8600
Pd: 0.2500 0.6661 0.3323
Ba: 0.7500 0.2013 0.4026
Pd: 0.7500 0.5220 0.0440
Ba: 0.2500 0.7987 0.5974
Pd: 0.2500 0.4780 0.9560
Pd: 0.7500 0.6148 0.2297
Ac: 0.2500 0.0700 0.1400


# 5
A geometry-optimized Rb3CeTm3S8 structure. Source: Alexandria via LeMat-Bulk, functional PBE.

Total moment ... 0.0 Bohr magnetons per cell
Space group ... R-3m, No. 166
Raw formation energy ... -42.6 kcal/mol of atoms

Cell lengths 8.0196, 8.0215, 9.0715 Å; angles 116.27, 90.00, 119.99 degrees
Fractional coordinates of all 15 atoms:
Rb: 0.0000 0.5000 0.0000
S: 0.2296 0.9567 0.6862
S: 0.7704 0.0433 0.3138
Rb: 0.0000 0.0000 0.0000
Tm: 0.5000 0.5000 0.5000
S: 0.7704 0.5407 0.3138
Ce: 0.0000 0.0000 0.5000
S: 0.7271 0.9567 0.6862
Tm: 0.5000 0.0000 0.5000
Tm: 0.0000 0.5000 0.5000
Rb: 0.5000 0.5000 0.0000
S: 0.2296 0.4593 0.6862
S: 0.7292 0.4585 0.6876
S: 0.2708 0.5415 0.3124
S: 0.2729 0.0433 0.3138


# 6
A geometry-optimized ErSb2Pt7 structure. Source: Alexandria via LeMat-Bulk, functional PBE.

Total moment ... 0.0 Bohr magnetons per cell
Density of states at the Fermi level ... 2.952 states/eV/cell
Space group ... I4/mmm, No. 139
Raw formation energy ... -14.5 kcal/mol of atoms

Cell lengths 4.0473, 4.0473, 11.8416 Å; angles 99.84, 99.84, 90.00 degrees
Fractional coordinates of all 10 atoms:
Pt: 0.5000 0.5000 0.0000
Er: 0.0000 0.0000 0.0000
Pt: 0.0915 0.5915 0.1830
Sb: 0.6694 0.6694 0.3389
Pt: 0.7500 0.2500 0.5000
Sb: 0.3306 0.3306 0.6611
Pt: 0.4085 0.9085 0.8170
Pt: 0.5915 0.0915 0.1830
Pt: 0.9085 0.4085 0.8170
Pt: 0.2500 0.7500 0.5000